12
Lattice="6.717 0.000 0.000 0.000 7.747 0.000 -2.340 0.000 7.243" Properties=species:S:1:pos:R:3 comment="GGA-PBE RbSiS, relaxed" rho_g_cm3=2.6 formation_energy_uncorrected_kj_per_mol_atoms=-42.4 final_energy_ev_per_atom=-3.945 n_ef_per_ev_cell=1.1 crystal_system=monoclinic pbc="T T T"
Rb 0.625 0.858 2.141
Rb -0.545 3.015 5.762
Rb 4.922 4.732 1.481
Rb 3.752 6.889 5.102
Si 1.675 4.690 2.986
Si 0.505 6.930 6.608
Si 3.872 0.817 0.635
Si 2.702 3.057 4.257
S 1.431 5.744 0.481
S 0.261 5.876 4.103
S 4.116 1.871 3.140
S 2.946 2.003 6.762